Model a:
{"formula": "Gd2TmIn", "functional": "PBE-GGA", "state": "relaxed", "lattice_angstrom": [[0.000, 3.854, 3.854], [3.854, 0.000, 3.854], [3.854, 3.854, 0.000]], "species": ["Gd", "Gd", "Tm", "In"], "fractional_positions": [[0.250, 0.250, 0.250], [0.750, 0.750, 0.750], [0.000, 0.000, 0.000], [0.500, 0.500, 0.500]], "n_ef_per_ev_atom": 1.1194}


Model b:
{"formula": "Gd2TmIn", "functional": "PBE-GGA", "state": "relaxed", "lattice_angstrom": [[4.136, 0.000, 0.000], [0.000, 4.136, 0.000], [0.000, 0.000, 6.888]], "species": ["Gd", "Gd", "Tm", "In"], "fractional_positions": [[0.000, 0.000, 0.240], [0.000, 0.000, 0.760], [0.500, 0.500, 0.500], [0.500, 0.500, 0.000]], "n_ef_per_ev_atom": 1.1937}


Model c:
{"formula": "Gd2TmIn", "functional": "PBE-GGA", "state": "relaxed", "lattice_angstrom": [[4.827, 0.000, 0.000], [0.000, 4.827, 0.000], [0.000, 0.000, 4.885]], "species": ["Gd", "Gd", "Tm", "In"], "fractional_positions": [[0.000, 0.500, 0.000], [0.500, 0.000, 0.000], [0.000, 0.000, 0.500], [0.500, 0.500, 0.500]], "n_ef_per_ev_atom": 0.8520}


Model d:
{"formula": "Gd2TmIn", "functional": "PBE-GGA", "state": "relaxed", "lattice_angstrom": [[1.747, 1.009, 12.058], [-1.747, 1.009, 12.058], [0.000, -2.017, 12.058]], "species": ["Gd", "Gd", "Tm", "In"], "fractional_positions": [[0.089, 0.089, 0.089], [0.911, 0.911, 0.911], [0.500, 0.500, 0.500], [0.000, 0.000, 0.000]], "n_ef_per_ev_atom": 1.0291}


model c is preferred energetically. Next in line: 97 meV/atom higher.